(1)
A plane-wave DFT calculation with PBE was carried out for an optimized crystal structure of La5TbPm4. Values from VASP.

Properties
Crystal system ... triclinic
Polymorph energy (0 for the lowest one) ... 102 meV per atom
DFT formation energy ... 122 meV/atom
VASP energy ... -4.705 eV per atom
Symmetry ... P-1 (2)
N(E_F) ... 15.57 states/eV per cell

Structure (Quantum ESPRESSO input):
```
&SYSTEM
  ibrav = 0, nat = 10, ntyp = 3
/
ATOMIC_SPECIES
La 138.91 La.upf
Tb 158.93 Tb.upf
Pm 145.00 Pm.upf
CELL_PARAMETERS angstrom
6.8574 0.6621 -0.3173
-1.0307 6.0388 -2.5332
1.9872 0.7531 8.2108
ATOMIC_POSITIONS angstrom
La 2.3015 2.9144 2.5929
La 0.6387 5.4382 0.2879
La 7.1751 2.0158 5.0725
La 2.9133 3.3504 -1.4252
La 5.5123 4.5396 2.7674
Tb 3.4287 0.3310 -0.1586
Pm 4.2102 6.5404 -0.0167
Pm 6.6388 2.4575 -0.1695
Pm 3.6036 0.9136 5.3770
Pm 1.1750 4.9965 5.5298
```

***

(2)
A plane-wave DFT calculation with PBE was carried out for an optimized crystal structure of LaBiI2. Values from VASP.

Properties
Crystal system ... tetragonal
Polymorph energy (0 for the lowest one) ... 0 meV per atom
VASP energy ... -3.629 eV per atom
Symmetry ... I-42d (122)
Raw formation energy ... -252 kJ/mol of formula units
N(E_F) ... 0.58 states/eV per cell

Structure (Quantum ESPRESSO input):
```
&SYSTEM
  ibrav = 0, nat = 8, ntyp = 3
/
ATOMIC_SPECIES
I 126.90 I.upf
Bi 208.98 Bi.upf
La 138.91 La.upf
CELL_PARAMETERS angstrom
-2.7096 -8.1154 7.0997
10.0204 -4.5987 -1.4322
4.8499 -4.5423 5.3640
ATOMIC_POSITIONS angstrom
I 1.1156 -5.7518 4.6976
I 6.7924 -6.0548 2.2350
I 7.6515 -8.7585 5.9664
I 8.7617 -13.9475 9.1639
Bi 0.0000 0.0000 0.0000
Bi 2.8978 -9.5073 7.6487
La 3.6554 -6.3570 2.8337
La 9.2628 -7.7490 3.3827
```

***

(3)
A plane-wave DFT calculation with PBE was carried out for an optimized crystal structure of Sm4Dy15Tm. Values from VASP.

Properties
Crystal system ... tetragonal
DFT formation energy ... 19 meV/atom
VASP energy ... -4.600 eV per atom
Symmetry ... P4/mmm (123)
N(E_F) ... 26.46 states/eV per cell

Structure (Quantum ESPRESSO input):
```
&SYSTEM
  ibrav = 0, nat = 20, ntyp = 3
/
ATOMIC_SPECIES
Sm 150.36 Sm.upf
Dy 162.50 Dy.upf
Tm 168.93 Tm.upf
CELL_PARAMETERS angstrom
5.0297 0.0000 0.0000
0.0000 5.0297 0.0000
0.0000 0.0000 25.1245
ATOMIC_POSITIONS angstrom
Sm 0.0000 0.0000 5.0057
Sm 0.0000 0.0000 10.0413
Sm 0.0000 0.0000 15.0832
Sm 0.0000 0.0000 20.1188
Dy 2.5148 2.5148 0.0000
Dy 2.5148 2.5148 4.9964
Dy 2.5148 2.5148 10.0446
Dy 2.5148 2.5148 15.0799
Dy 2.5148 2.5148 20.1281
Dy 2.5148 0.0000 2.4776
Dy 2.5148 0.0000 7.5212
Dy 2.5148 0.0000 12.5623
Dy 2.5148 0.0000 17.6033
Dy 2.5148 0.0000 22.6469
Dy 0.0000 2.5148 2.4776
Dy 0.0000 2.5148 7.5212
Dy 0.0000 2.5148 12.5623
Dy 0.0000 2.5148 17.6033
Dy 0.0000 2.5148 22.6469
Tm 0.0000 0.0000 0.0000
```

***

(4)
A plane-wave DFT calculation with PBE was carried out for an optimized crystal structure of CdPAu. Values from VASP.

Properties
Crystal system ... monoclinic
DFT formation energy ... -11 meV/atom
VASP energy ... -3.212 eV per atom
Symmetry ... Cm (8)
N(E_F) ... 0.73 states/eV per cell

Structure (Quantum ESPRESSO input):
```
&SYSTEM
  ibrav = 0, nat = 6, ntyp = 3
/
ATOMIC_SPECIES
Cd 112.41 Cd.upf
P 30.97 P.upf
Au 196.97 Au.upf
CELL_PARAMETERS angstrom
-4.6101 -2.9003 0.3850
1.8274 -2.5526 2.6522
2.5200 6.1075 4.1418
ATOMIC_POSITIONS angstrom
Cd -1.1284 1.4087 2.1333
Cd 1.0453 3.1862 5.5303
P -3.4429 -0.8321 1.5712
P -1.2692 0.9453 4.9683
Au -1.5715 3.3624 4.3189
Au -1.9178 -0.9676 3.5741
```

***

(5)
A plane-wave DFT calculation with PBE was carried out for an optimized crystal structure of La2BiSeS. Values from VASP.

Properties
Crystal system ... tetragonal
VASP energy ... -4.571 eV per atom
Symmetry ... P4/mmm (123)
Raw formation energy ... -146 kJ/mol of formula units
N(E_F) ... 3.39 states/eV per cell

Structure (Quantum ESPRESSO input):
```
&SYSTEM
  ibrav = 0, nat = 5, ntyp = 4
/
ATOMIC_SPECIES
S 32.06 S.upf
Bi 208.98 Bi.upf
Se 78.96 Se.upf
La 138.91 La.upf
CELL_PARAMETERS angstrom
-4.1242 0.4898 4.5043
2.6836 -3.3692 2.8235
3.2152 4.6080 2.4427
ATOMIC_POSITIONS angstrom
S 1.3418 -1.6846 1.4117
Bi 0.0000 0.0000 0.0000
Se 0.8873 0.8643 4.8853
La 1.6076 2.3040 1.2214
La -2.0621 0.2449 2.2522
```

***

(6)
A plane-wave DFT calculation with PBE was carried out for an optimized crystal structure of Sc8Zn2Os. Values from VASP.

Properties
Crystal system ... orthorhombic
Polymorph energy (0 for the lowest one) ... 89 meV per atom
DFT formation energy ... -170 meV/atom
VASP energy ... -6.027 eV per atom
Symmetry ... Immm (71)
N(E_F) ... 9.67 states/eV per cell

Structure (Quantum ESPRESSO input):
```
&SYSTEM
  ibrav = 0, nat = 11, ntyp = 3
/
ATOMIC_SPECIES
Sc 44.96 Sc.upf
Zn 65.41 Zn.upf
Os 190.23 Os.upf
CELL_PARAMETERS angstrom
4.4790 0.0000 -1.3632
-1.1351 6.5667 -3.7298
-0.0702 -0.0177 7.8093
ATOMIC_POSITIONS angstrom
Sc 1.8993 5.7266 -1.7995
Sc 0.8684 3.7502 2.8535
Sc 0.4035 0.8229 1.3260
Sc 4.0389 2.1217 5.2307
Sc 2.8701 5.7261 1.3904
Sc 2.4052 2.7988 -0.1371
Sc 1.3744 0.8224 4.5158
Sc -0.7652 4.4272 -2.5143
Zn 0.0663 4.5750 0.2179
Zn 3.2073 1.9740 2.4984
Os 2.2395 0.0000 -0.6816
```

***

(7)
A plane-wave DFT calculation with PBE was carried out for an optimized crystal structure of Er2Ga2Au3. Values from VASP.

Properties
Crystal system ... orthorhombic
DFT formation energy ... -666 meV/atom
VASP energy ... -4.239 eV per atom
Symmetry ... Cmcm (63)
N(E_F) ... 7.30 states/eV per cell

Structure (Quantum ESPRESSO input):
```
&SYSTEM
  ibrav = 0, nat = 14, ntyp = 3
/
ATOMIC_SPECIES
Er 167.26 Er.upf
Ga 69.72 Ga.upf
Au 196.97 Au.upf
CELL_PARAMETERS angstrom
3.9689 0.0000 -0.9462
0.0000 7.2859 0.0000
0.3090 0.0000 10.0929
ATOMIC_POSITIONS angstrom
Er 0.7050 1.8215 2.9570
Er 3.5730 5.4644 6.1897
Er 4.0266 1.8215 8.0925
Er 0.2513 5.4644 1.0542
Ga 2.8567 6.9142 3.1855
Ga 1.4212 0.3717 5.9612
Ga 1.4212 3.2712 5.9612
Ga 2.8567 4.0147 3.1855
Au 1.0357 5.4644 4.3442
Au 3.2422 1.8215 4.8026
Au 2.2816 3.2409 0.7733
Au 1.9963 4.0450 8.3734
Au 1.9963 6.8839 8.3734
Au 2.2816 0.4020 0.7733
```

***

(8)
A plane-wave DFT calculation with PBE was carried out for an optimized crystal structure of Ti2Ga2Au. Values from VASP.

Properties
Crystal system ... orthorhombic
Polymorph energy (0 for the lowest one) ... 171 meV per atom
DFT formation energy ... -248 meV/atom
VASP energy ... -5.272 eV per atom
Symmetry ... Cmmm (65)
N(E_F) ... 3.02 states/eV per cell

Structure (Quantum ESPRESSO input):
```
&SYSTEM
  ibrav = 0, nat = 5, ntyp = 3
/
ATOMIC_SPECIES
Ti 47.87 Ti.upf
Ga 69.72 Ga.upf
Au 196.97 Au.upf
CELL_PARAMETERS angstrom
-0.0664 -2.1446 -2.2276
-2.4304 -2.6100 2.5852
-5.6568 3.8704 -1.4105
ATOMIC_POSITIONS angstrom
Ti -3.7809 1.8593 -1.6774
Ti -1.9423 -0.1335 -1.9608
Ga -3.0635 -0.3961 0.4726
Ga -5.0901 -0.4881 -1.5256
Au 0.0000 0.0000 0.0000
```

***

(9)
A plane-wave DFT calculation with PBE was carried out for an optimized crystal structure of TmGa4Pd7. Values from VASP.

Properties
Crystal system ... monoclinic
DFT formation energy ... -518 meV/atom
VASP energy ... -4.928 eV per atom
Symmetry ... C2/m (12)
N(E_F) ... 3.97 states/eV per cell

Structure (Quantum ESPRESSO input):
```
&SYSTEM
  ibrav = 0, nat = 12, ntyp = 3
/
ATOMIC_SPECIES
Tm 168.93 Tm.upf
Ga 69.72 Ga.upf
Pd 106.42 Pd.upf
CELL_PARAMETERS angstrom
-1.4200 0.3370 -4.5909
-2.6848 -7.0259 -2.2126
-6.0627 1.3134 -0.5557
ATOMIC_POSITIONS angstrom
Tm 0.0000 0.0000 0.0000
Ga -5.1776 -0.5220 -3.4916
Ga -4.9900 -4.8536 -3.8676
Ga -8.3261 -3.2383 -5.2445
Ga -1.8414 -2.1373 -2.1147
Pd -6.8563 -5.1977 -5.8430
Pd -3.3112 -0.1779 -1.5163
Pd -3.1365 -4.2631 -1.8702
Pd -7.0311 -1.1124 -5.4891
Pd -6.4761 -2.9463 -3.2679
Pd -0.7100 0.1685 -2.2954
Pd -3.6914 -2.4292 -4.0913
```

***

(10)
A plane-wave DFT calculation with PBE was carried out for an optimized crystal structure of ZnNiAg3. Values from VASP.

Properties
Crystal system ... cubic
Polymorph energy (0 for the lowest one) ... 0 meV per atom
DFT formation energy ... 776 meV/atom
VASP energy ... -2.346 eV per atom
Symmetry ... Pm-3m (221)
N(E_F) ... 3.19 states/eV per cell

Structure (Quantum ESPRESSO input):
```
&SYSTEM
  ibrav = 0, nat = 5, ntyp = 3
/
ATOMIC_SPECIES
Ni 58.69 Ni.upf
Zn 65.41 Zn.upf
Ag 107.87 Ag.upf
CELL_PARAMETERS angstrom
-0.1984 -3.7409 2.9852
4.7837 -0.0625 0.2395
-0.1481 2.9912 3.7385
ATOMIC_POSITIONS angstrom
Ni 0.0000 0.0000 0.0000
Zn 2.2186 -0.4061 3.4816
Ag 2.3919 -0.0313 0.1198
Ag -0.0740 1.4956 1.8692
Ag -0.0992 -1.8704 1.4926
```

***

(11)
A plane-wave DFT calculation with PBE was carried out for an optimized crystal structure of AuBrN3. Values from VASP.

Properties
Crystal system ... cubic
VASP energy ... -3.454 eV per atom
Symmetry ... Pm-3m (221)
Raw formation energy ... 1221 kJ/mol of formula units
N(E_F) ... 2.75 states/eV per cell

Structure (Quantum ESPRESSO input):
```
&SYSTEM
  ibrav = 0, nat = 5, ntyp = 3
/
ATOMIC_SPECIES
Au 196.97 Au.upf
Br 79.90 Br.upf
N 14.01 N.upf
CELL_PARAMETERS angstrom
-0.0465 4.2544 -0.1340
-4.1939 -0.0687 -0.7255
-0.7273 0.1240 4.1923
ATOMIC_POSITIONS angstrom
Au 0.0000 0.0000 0.0000
Br -2.4839 2.1549 1.6664
N -2.0970 -0.0344 -0.3628
N -0.3637 0.0620 2.0962
N -0.0233 2.1272 -0.0670
```

***

(12)
A plane-wave DFT calculation with PBE was carried out for an optimized crystal structure of Re2AgO7. Values from VASP.

Properties
Crystal system ... orthorhombic
VASP energy ... -7.440 eV per atom
Symmetry ... Cmmm (65)
Raw formation energy ... -1152 kJ/mol of formula units
N(E_F) ... 2.60 states/eV per cell

Structure (Quantum ESPRESSO input):
```
&SYSTEM
  ibrav = 0, nat = 10, ntyp = 3
/
ATOMIC_SPECIES
Re 186.21 Re.upf
Ag 107.87 Ag.upf
O 16.00 O.upf
CELL_PARAMETERS angstrom
3.7726 0.0000 0.0000
0.0000 6.2049 0.0000
0.0000 -3.1024 5.0326
ATOMIC_POSITIONS angstrom
Re 1.8863 3.1025 1.9260
Re 1.8863 0.0000 3.1066
Ag 0.0000 0.0000 0.0000
O 0.0000 3.1024 1.9392
O 0.0000 0.0000 3.0933
O 1.8863 1.9586 3.5723
O 1.8863 1.1439 1.4603
O 1.8863 5.0610 1.4603
O 1.8863 -1.9586 3.5723
O 1.8863 3.1024 0.0000
```